# MnVF5

A relaxed structure of MnVF5 (GGA+U, Alexandria via LeMat-Bulk).

The structure in POSCAR format:
```
MnVF5
1.0
4.431 -3.198 0.000
4.431 3.198 0.000
-3.355 0.000 6.893
Mn V F
2 2 10
Direct
0.037 0.963 0.750 Mn
0.963 0.037 0.250 Mn
0.500 0.500 0.000 V
0.500 0.500 0.500 V
0.182 0.782 0.040 F
0.218 0.818 0.460 F
0.229 0.288 0.371 F
0.288 0.229 0.871 F
0.391 0.609 0.750 F
0.609 0.391 0.250 F
0.712 0.771 0.129 F
0.771 0.712 0.629 F
0.782 0.182 0.540 F
0.818 0.218 0.960 F
```

Summary:
Fermi-level density of states	0.00	states/eV per atom
space group	C2/c (15)
calculated total energy	-6.26	eV per atom
energy above the lowest structure with this stoichiometry	0.000	eV per formula unit